No. 1
Density functional theory data (GGA-PBE) for a relaxed structure of Be3Hg5.

Lattice parameters (Å, degrees): 8.361 8.505 4.125 90.00 90.00 90.00
Space group Cmmm (No. 65)
One atom of each set of equivalent atoms:
Be 0.000 0.000 0.000 x2
Be 0.223 0.500 0.500 x4
Hg 0.000 0.180 0.500 x4
Hg 0.000 0.500 0.000 x2
Hg 0.250 0.250 0.000 x4

## Properties
Energy above the lowest structure with this stoichiometry   149 meV/atom
Energy   -1.0305 eV per atom

***

No. 2
Density functional theory data (GGA-PBE) for a relaxed structure of LiHoBeHg.

Lattice parameters (Å, degrees): 6.503 6.503 6.503 90.00 90.00 90.00
Space group F-43m (No. 216)
One atom of each set of equivalent atoms:
Li 0.000 0.000 0.000 x4
Ho 0.250 0.250 0.750 x4
Be 0.000 0.000 0.500 x4
Hg 0.250 0.250 0.250 x4

## Properties
Energy   -2.7604 eV per atom

***

What DOS at the Fermi energy values result from the calculations? In sequence: 0.2448, 0.2724 states/eV/atom.
What calculated formation energy values result from the calculations? In sequence: 4.44, -0.52 eV per formula unit.
What M_tot values result from the calculations? In sequence: 0.00, 0.00 μB per atom.